Entry P
Computed, not measured: a relaxed CsCBr2 crystal at the PBE level of DFT.

Structure (CIF):
```
data_CsCBr2
_space_group_name_H-M_alt 'I 41/a m d'
_space_group_IT_number 141
_cell_length_a 7.266
_cell_length_b 7.266
_cell_length_c 10.515
_cell_angle_alpha 90.00
_cell_angle_beta 90.00
_cell_angle_gamma 90.00
loop_
_space_group_symop_operation_xyz
'x,y,z'
'-x,-y,-z'
'-y+1/4,x+3/4,z+1/4'
'y+1/4,-x+3/4,-z+1/4'
'-x+1/2,-y,z+1/2'
'x+1/2,y,-z+1/2'
'y+1/4,-x+1/4,z+3/4'
'-y+1/4,x+1/4,-z+3/4'
'x,-y,-z'
'-x,y,z'
'-y+1/4,-x+1/4,-z+3/4'
'y+1/4,x+1/4,z+3/4'
'-x+1/2,y,-z+1/2'
'x+1/2,-y,z+1/2'
'y+1/4,x+3/4,-z+1/4'
'-y+1/4,-x+3/4,z+1/4'
'x+1/2,y+1/2,z+1/2'
'-x+1/2,-y+1/2,-z+1/2'
'-y+3/4,x+1/4,z+3/4'
'y+3/4,-x+1/4,-z+3/4'
'-x,-y+1/2,z'
'x,y+1/2,-z'
'y+3/4,-x+3/4,z+1/4'
'-y+3/4,x+3/4,-z+1/4'
'x+1/2,-y+1/2,-z+1/2'
'-x+1/2,y+1/2,z+1/2'
'-y+3/4,-x+3/4,-z+1/4'
'y+3/4,x+3/4,z+1/4'
'-x,y+1/2,-z'
'x,-y+1/2,z'
'y+3/4,x+1/4,-z+3/4'
'-y+3/4,-x+1/4,z+3/4'
loop_
_atom_site_label
_atom_site_fract_x
_atom_site_fract_y
_atom_site_fract_z
_atom_site_occupancy
Cs1 0.000 0.250 0.375 1
C1 0.000 0.250 0.875 1
Br1 0.000 0.000 0.000 1
```

Results
V ... 555 Å³/cell

---

Entry Q
Computed, not measured: a relaxed CsCBr2 crystal at the PBE level of DFT.

Structure (CIF):
```
data_CsCBr2
_space_group_name_H-M_alt 'R -3 m'
_space_group_IT_number 166
_space_group_name_Hall '-R 3 2"'
_cell_length_a 5.7968
_cell_length_b 5.7968
_cell_length_c 23.2678
_cell_angle_alpha 90.00
_cell_angle_beta 90.00
_cell_angle_gamma 120.00
loop_
_atom_site_label
_atom_site_fract_x
_atom_site_fract_y
_atom_site_fract_z
_atom_site_occupancy
Cs1 0.0000 0.0000 0.0000 1
C1 0.0000 0.0000 0.5000 1
Br1 0.0000 0.0000 0.4016 1
```

Results
V ... 677 Å³/cell

---

If you had to name the least stable structure above, which would it be? It would be entry Q.